Dy3Er3Bi2Os | PBE-GGA | optimized geometry

```
Dy3Er3Bi2Os
1.0
8.279 0.000 0.000
-4.139 7.169 0.000
0.000 0.000 4.223
Dy Er Bi Os
3 3 2 1
Cartesian
-3.166 5.484 0.000
0.973 1.685 0.000
6.333 0.000 0.000
-1.602 2.775 2.112
3.204 0.000 2.112
2.537 4.395 2.112
0.000 4.780 0.000
4.139 2.390 0.000
0.000 0.000 2.112
```

Results
- energy above the most stable polymorph in this dataset (meV per atom) = 39
- total magnetization (μB per formula unit) = 0.018
- calculated density (g/cm3) = 10.6
- crystal system = hexagonal

=====

Ho2TmNiSn3Ir2 | PBE-GGA | optimized geometry

```
Ho2TmNiSn3Ir2
1.0
3.721 0.000 0.000
0.000 6.543 3.783
0.000 -6.543 3.783
Ho Tm Ni Sn Ir
2 1 1 3 2
Cartesian
0.000 -3.884 3.783
0.000 3.884 3.783
0.000 0.000 2.955
0.000 0.000 6.023
1.861 0.000 0.409
1.861 -1.678 5.054
1.861 1.678 5.054
1.861 -2.167 2.250
1.861 2.167 2.250
```

Results
- VASP energy (eV per atom) = -6.237
- total magnetization (μB per formula unit) = 0.000
- calculated density (g/cm3) = 11.7
- crystal system = orthorhombic

=====

YMgNb | PBE-GGA | optimized geometry

```
YMgNb
1.0
0.000 3.400 3.400
3.400 0.000 3.400
3.400 3.400 0.000
Y Mg Nb
1 1 1
Cartesian
0.000 0.000 0.000
5.101 5.101 5.101
3.400 3.400 3.400
```

Results
- energy above the most stable polymorph in this dataset (meV per atom) = 0
- total magnetization (μB per formula unit) = 0.679
- calculated density (g/cm3) = 4.4
- crystal system = cubic

=====

Lu2GeN | PBE-GGA | optimized geometry

```
Lu2GeN
1.0
3.403 0.000 0.000
-1.701 2.947 0.000
0.000 0.000 14.008
Lu Ge N
4 2 2
Cartesian
0.000 1.965 1.296
0.000 1.965 5.708
1.701 0.982 8.299
1.701 0.982 12.712
0.000 1.965 10.506
1.701 0.982 3.502
0.000 0.000 0.000
0.000 0.000 7.004
```

Results
- VASP energy (eV per atom) = -6.720
- total magnetization (μB per formula unit) = 0.000
- calculated density (g/cm3) = 10.3
- crystal system = hexagonal